A geometry-optimized Ba2NaSrRh structure. Source: the Alexandria database, functional GGA-PBE.

Geometry as POSCAR:
```
Ba2NaSrRh
1.0
6.139 0.000 0.000
0.000 6.139 0.000
0.000 0.000 6.016
Sr Rh Ba Na
1 1 2 1
direct
0.000 0.000 0.500
0.000 0.000 0.000
0.000 0.500 0.000
0.500 0.000 0.000
0.500 0.500 0.500
```

Summary:
calculated volume = 45.35 Å³ per atom
ΔE_f = -0.1452 eV/atom
excess energy over the best structure of this formula in the dataset = 0 meV/atom